(1)
Density functional theory data (PBE) for crystalline Sc2CdCo at its relaxed geometry.

Cell and atoms, written as CIF:
```
data_Sc2CdCo
_space_group_name_H-M_alt 'P 4/m m m'
_space_group_IT_number 123
_space_group_name_Hall '-P 4 2'
_cell_length_a 3.2045
_cell_length_b 3.2045
_cell_length_c 7.2540
_cell_angle_alpha 90.00
_cell_angle_beta 90.00
_cell_angle_gamma 90.00
loop_
_atom_site_label
_atom_site_type_symbol
_atom_site_fract_x
_atom_site_fract_y
_atom_site_fract_z
Sc1 Sc 0.0000 0.0000 0.2095
Cd1 Cd 0.5000 0.5000 0.5000
Co1 Co 0.5000 0.5000 0.0000
```

Values from the calculation:
Energy of formation = -344 meV per atom
Crystal system = tetragonal
M_tot = 0.3 μB/f.u.

***

(2)
Density functional theory data (PBE) for crystalline Tb2Pm2ErMg5 at its relaxed geometry.

Cell and atoms, written as CIF:
```
data_Tb2Pm2ErMg5
_space_group_name_H-M_alt 'P 4/m b m'
_space_group_IT_number 127
_space_group_name_Hall '-P 4 2ab'
_cell_length_a 10.6065
_cell_length_b 10.6065
_cell_length_c 5.0777
_cell_angle_alpha 90.00
_cell_angle_beta 90.00
_cell_angle_gamma 90.00
loop_
_atom_site_label
_atom_site_type_symbol
_atom_site_fract_x
_atom_site_fract_y
_atom_site_fract_z
Tb1 Tb 0.1207 0.3793 0.0000
Pm1 Pm 0.1769 0.6769 0.0000
Er1 Er 0.0000 0.0000 0.0000
Mg1 Mg 0.0000 0.5000 0.5000
Mg2 Mg 0.0682 0.1969 0.5000
```

Values from the calculation:
Energy of formation = 45 meV per atom
Crystal system = tetragonal
M_tot = 0.0 μB/f.u.

***

(3)
Density functional theory data (PBE) for crystalline NiAs at its relaxed geometry.

Cell and atoms, written as CIF:
```
data_NiAs
_space_group_name_H-M_alt 'I m m 2'
_space_group_IT_number 44
_cell_length_a 3.7227
_cell_length_b 10.6241
_cell_length_c 4.5873
_cell_angle_alpha 90.00
_cell_angle_beta 90.00
_cell_angle_gamma 90.00
loop_
_space_group_symop_operation_xyz
'x,y,z'
'-x,-y,z'
'-x,y,z'
'x,-y,z'
'x+1/2,y+1/2,z+1/2'
'-x+1/2,-y+1/2,z+1/2'
'-x+1/2,y+1/2,z+1/2'
'x+1/2,-y+1/2,z+1/2'
loop_
_atom_site_label
_atom_site_type_symbol
_atom_site_fract_x
_atom_site_fract_y
_atom_site_fract_z
Ni1 Ni 0.0000 0.0000 0.0000
Ni2 Ni 0.0000 0.1330 0.5206
As1 As 0.0000 0.2198 0.0387
As2 As 0.0000 0.5000 0.1710
```

Values from the calculation:
Energy of formation = -178 meV per atom
Crystal system = orthorhombic
M_tot = 0.0 μB/f.u.

***

(4)
Density functional theory data (PBE) for crystalline Cs2Nd2NpSe6 at its relaxed geometry.

Cell and atoms, written as CIF:
```
data_Cs2Nd2NpSe6
_space_group_name_H-M_alt 'C 1 2/m 1'
_space_group_IT_number 12
_cell_length_a 7.4626
_cell_length_b 12.8659
_cell_length_c 8.9498
_cell_angle_alpha 90.00
_cell_angle_beta 106.60
_cell_angle_gamma 90.00
loop_
_space_group_symop_operation_xyz
'x,y,z'
'-x,-y,-z'
'-x,y,-z'
'x,-y,z'
'x+1/2,y+1/2,z'
'-x+1/2,-y+1/2,-z'
'-x+1/2,y+1/2,-z'
'x+1/2,-y+1/2,z'
loop_
_atom_site_label
_atom_site_type_symbol
_atom_site_fract_x
_atom_site_fract_y
_atom_site_fract_z
Cs1 Cs 0.0000 0.1702 0.0000
Nd1 Nd 0.0000 0.3335 0.5000
Np1 Np 0.0000 0.0000 0.5000
Se1 Se 0.2232 0.1604 0.6843
Se2 Se 0.2445 0.5000 0.6837
```

Values from the calculation:
Formation energy from raw total energies = -1.565 eV per atom
Crystal system = monoclinic
M_tot = 3.0 μB/f.u.

***

(5)
Density functional theory data (PBE) for crystalline YTlZn at its relaxed geometry.

Cell and atoms, written as CIF:
```
data_YTlZn
_space_group_name_H-M_alt 'F -4 3 m'
_space_group_IT_number 216
_space_group_name_Hall 'F -4 2 3'
_cell_length_a 6.6750
_cell_length_b 6.6750
_cell_length_c 6.6750
_cell_angle_alpha 90.00
_cell_angle_beta 90.00
_cell_angle_gamma 90.00
loop_
_atom_site_label
_atom_site_type_symbol
_atom_site_fract_x
_atom_site_fract_y
_atom_site_fract_z
Y1 Y 0.0000 0.0000 0.0000
Tl1 Tl 0.0000 0.0000 0.5000
Zn1 Zn 0.2500 0.2500 0.7500
```

Values from the calculation:
Energy of formation = -277 meV per atom
Crystal system = cubic
M_tot = 0.0 μB/f.u.

***

(6)
Density functional theory data (PBE) for crystalline Sr2FeAs at its relaxed geometry.

Cell and atoms, written as CIF:
```
data_Sr2FeAs
_space_group_name_H-M_alt 'P 4 m m'
_space_group_IT_number 99
_cell_length_a 3.5977
_cell_length_b 3.5977
_cell_length_c 8.8341
_cell_angle_alpha 90.00
_cell_angle_beta 90.00
_cell_angle_gamma 90.00
loop_
_space_group_symop_operation_xyz
'x,y,z'
'-y,x,z'
'-x,-y,z'
'y,-x,z'
'-x,y,z'
'y,x,z'
'x,-y,z'
'-y,-x,z'
loop_
_atom_site_label
_atom_site_type_symbol
_atom_site_fract_x
_atom_site_fract_y
_atom_site_fract_z
Sr1 Sr 0.0000 0.0000 0.0000
Sr2 Sr 0.5000 0.5000 0.4048
Fe1 Fe 0.5000 0.5000 0.7391
As1 As 0.0000 0.0000 0.6547
```

Values from the calculation:
Energy of formation = 0 meV per atom
Crystal system = tetragonal
M_tot = 2.5 μB/f.u.

***

(7)
Density functional theory data (PBE) for crystalline SrCa4Mg5 at its relaxed geometry.

Cell and atoms, written as CIF:
```
data_SrCa4Mg5
_space_group_name_H-M_alt 'P 4/m m m'
_space_group_IT_number 123
_space_group_name_Hall '-P 4 2'
_cell_length_a 3.9915
_cell_length_b 3.9915
_cell_length_c 20.2014
_cell_angle_alpha 90.00
_cell_angle_beta 90.00
_cell_angle_gamma 90.00
loop_
_atom_site_label
_atom_site_type_symbol
_atom_site_fract_x
_atom_site_fract_y
_atom_site_fract_z
Sr1 Sr 0.0000 0.0000 0.0000
Ca1 Ca 0.0000 0.0000 0.2079
Ca2 Ca 0.0000 0.0000 0.4026
Mg1 Mg 0.5000 0.5000 0.1115
Mg2 Mg 0.5000 0.5000 0.3055
Mg3 Mg 0.5000 0.5000 0.5000
```

Values from the calculation:
Energy of formation = -75 meV per atom
Crystal system = tetragonal
M_tot = 0.0 μB/f.u.

***

(8)
Density functional theory data (PBE) for crystalline Sm6Ge3Se2S at its relaxed geometry.

Cell and atoms, written as CIF:
```
data_Sm6Ge3Se2S
_space_group_name_H-M_alt 'C 1 2/m 1'
_space_group_IT_number 12
_cell_length_a 18.3244
_cell_length_b 4.1988
_cell_length_c 8.4139
_cell_angle_alpha 90.00
_cell_angle_beta 103.75
_cell_angle_gamma 90.00
loop_
_space_group_symop_operation_xyz
'x,y,z'
'-x,-y,-z'
'-x,y,-z'
'x,-y,z'
'x+1/2,y+1/2,z'
'-x+1/2,-y+1/2,-z'
'-x+1/2,y+1/2,-z'
'x+1/2,-y+1/2,z'
loop_
_atom_site_label
_atom_site_type_symbol
_atom_site_fract_x
_atom_site_fract_y
_atom_site_fract_z
Sm1 Sm 0.0024 0.0000 0.2509
Sm2 Sm 0.1646 0.5000 0.0892
Sm3 Sm 0.1658 0.5000 0.5768
Ge1 Ge 0.0000 0.5000 0.0000
Ge2 Ge 0.1675 0.0000 0.3347
Se1 Se 0.1662 0.0000 0.8331
S1 S 0.0000 0.5000 0.5000
```

Values from the calculation:
Formation energy from raw total energies = -1.417 eV per atom
Crystal system = monoclinic
M_tot = 0.0 μB/f.u.

***

(9)
Density functional theory data (PBE) for crystalline BaHSe2 at its relaxed geometry.

Cell and atoms, written as CIF:
```
data_BaHSe2
_space_group_name_H-M_alt 'I 41/a m d'
_space_group_IT_number 141
_cell_length_a 5.4887
_cell_length_b 5.4887
_cell_length_c 13.3292
_cell_angle_alpha 90.00
_cell_angle_beta 90.00
_cell_angle_gamma 90.00
loop_
_space_group_symop_operation_xyz
'x,y,z'
'-x,-y,-z'
'-y+1/4,x+3/4,z+1/4'
'y+1/4,-x+3/4,-z+1/4'
'-x+1/2,-y,z+1/2'
'x+1/2,y,-z+1/2'
'y+1/4,-x+1/4,z+3/4'
'-y+1/4,x+1/4,-z+3/4'
'x,-y,-z'
'-x,y,z'
'-y+1/4,-x+1/4,-z+3/4'
'y+1/4,x+1/4,z+3/4'
'-x+1/2,y,-z+1/2'
'x+1/2,-y,z+1/2'
'y+1/4,x+3/4,-z+1/4'
'-y+1/4,-x+3/4,z+1/4'
'x+1/2,y+1/2,z+1/2'
'-x+1/2,-y+1/2,-z+1/2'
'-y+3/4,x+1/4,z+3/4'
'y+3/4,-x+1/4,-z+3/4'
'-x,-y+1/2,z'
'x,y+1/2,-z'
'y+3/4,-x+3/4,z+1/4'
'-y+3/4,x+3/4,-z+1/4'
'x+1/2,-y+1/2,-z+1/2'
'-x+1/2,y+1/2,z+1/2'
'-y+3/4,-x+3/4,-z+1/4'
'y+3/4,x+3/4,z+1/4'
'-x,y+1/2,-z'
'x,-y+1/2,z'
'y+3/4,x+1/4,-z+3/4'
'-y+3/4,-x+1/4,z+3/4'
loop_
_atom_site_label
_atom_site_type_symbol
_atom_site_fract_x
_atom_site_fract_y
_atom_site_fract_z
Ba1 Ba 0.0000 0.2500 0.3750
H1 H 0.0000 0.2500 0.8750
Se1 Se 0.0000 0.0000 0.0000
```

Values from the calculation:
Energy above the most stable polymorph in this dataset = 0 meV per atom
Crystal system = tetragonal
M_tot = 0.0 μB/f.u.

***

(10)
Density functional theory data (PBE) for crystalline HfV2GaN at its relaxed geometry.

Cell and atoms, written as CIF:
```
data_HfV2GaN
_space_group_name_H-M_alt 'P 4/m m m'
_space_group_IT_number 123
_space_group_name_Hall '-P 4 2'
_cell_length_a 3.9371
_cell_length_b 3.9371
_cell_length_c 4.4568
_cell_angle_alpha 90.00
_cell_angle_beta 90.00
_cell_angle_gamma 90.00
loop_
_atom_site_label
_atom_site_type_symbol
_atom_site_fract_x
_atom_site_fract_y
_atom_site_fract_z
Hf1 Hf 0.0000 0.0000 0.0000
V1 V 0.0000 0.5000 0.5000
Ga1 Ga 0.5000 0.5000 0.0000
N1 N 0.0000 0.0000 0.5000
```

Values from the calculation:
Formation energy from raw total energies = -0.671 eV per atom
Crystal system = tetragonal
M_tot = 0.0 μB/f.u.

***

(11)
Density functional theory data (PBE) for crystalline SrAcSnPd at its relaxed geometry.

Cell and atoms, written as CIF:
```
data_SrAcSnPd
_space_group_name_H-M_alt 'F -4 3 m'
_space_group_IT_number 216
_space_group_name_Hall 'F -4 2 3'
_cell_length_a 7.8762
_cell_length_b 7.8762
_cell_length_c 7.8762
_cell_angle_alpha 90.00
_cell_angle_beta 90.00
_cell_angle_gamma 90.00
loop_
_atom_site_label
_atom_site_type_symbol
_atom_site_fract_x
_atom_site_fract_y
_atom_site_fract_z
Sr1 Sr 0.0000 0.0000 0.0000
Ac1 Ac 0.0000 0.0000 0.5000
Sn1 Sn 0.2500 0.2500 0.7500
Pd1 Pd 0.2500 0.2500 0.2500
```

Values from the calculation:
Energy of formation = -599 meV per atom
Crystal system = cubic
M_tot = 0.0 μB/f.u.

***

(12)
Density functional theory data (PBE) for crystalline NaTl2InBi at its relaxed geometry.

Cell and atoms, written as CIF:
```
data_NaTl2InBi
_space_group_name_H-M_alt 'I 4 m m'
_space_group_IT_number 107
_space_group_name_Hall 'I 4 -2'
_cell_length_a 4.6958
_cell_length_b 4.6958
_cell_length_c 15.8710
_cell_angle_alpha 90.00
_cell_angle_beta 90.00
_cell_angle_gamma 90.00
loop_
_atom_site_label
_atom_site_type_symbol
_atom_site_fract_x
_atom_site_fract_y
_atom_site_fract_z
Na1 Na 0.0000 0.0000 0.0000
Tl1 Tl 0.0000 0.5000 0.1525
In1 In 0.0000 0.0000 0.8082
Bi1 Bi 0.0000 0.0000 0.3083
```

Values from the calculation:
Energy of formation = -2 meV per atom
Crystal system = tetragonal
M_tot = 0.0 μB/f.u.